# NaCrN2O (GGA+U, optimized geometry)
# Raw total energy   -4.1832 eV/atom
# ρ   2.65 g/cm³
# Size of the total moment   9.006 μB per formula unit
data_NaCrN2O
_space_group_name_H-M_alt 'P 4/m m m'
_space_group_IT_number 123
_space_group_name_Hall '-P 4 2'
_cell_length_a 4.2249
_cell_length_b 4.2249
_cell_length_c 4.1847
_cell_angle_alpha 90.00
_cell_angle_beta 90.00
_cell_angle_gamma 90.00
loop_
_atom_site_label
_atom_site_type_symbol
_atom_site_fract_x
_atom_site_fract_y
_atom_site_fract_z
Na1 Na 0.0000 0.0000 0.0000
Cr1 Cr 0.5000 0.5000 0.5000
N1 N 0.0000 0.5000 0.0000
O1 O 0.0000 0.0000 0.5000